# TlAsHW2 (PBE, relaxed)
# size of the total moment = 0.00 μB/cell
# electronic total energy = -31.0 eV per formula unit
# D(E_F) = 3.15 states/eV/f.u.
data_TlAsHW2
_chemical_formula_sum 'Tl1 As1 H1 W2'
_cell_length_a 3.993
_cell_length_b 3.993
_cell_length_c 4.984
_cell_angle_alpha 90.00
_cell_angle_beta 90.00
_cell_angle_gamma 90.00
_space_group_name_H-M_alt 'P 4/m m m'
_space_group_IT_number 123
_space_group_name_Hall '-P 4 2'
loop_
_atom_site_label
_atom_site_type_symbol
_atom_site_fract_x
_atom_site_fract_y
_atom_site_fract_z
Tl1 Tl 0.000 0.000 0.000
As1 As 0.500 0.500 0.000
H1 H 0.000 0.000 0.500
W1 W 0.000 0.500 0.500